Computed, not measured: In4SeS3 after structural relaxation at the PBE level of DFT.

Properties
- Energy above the lowest structure with this stoichiometry: 0.0833 eV/atom
- ρ: 4.51 g/cm³
- Size of the total moment: 0.000 μB/cell
- Uncorrected formation energy: -275 kJ/mol of formula units

Lattice parameters (Å, degrees): 7.0052 8.1086 8.2296 90.00 90.00 90.00
Fractional positions:
Se  0.8787  0.9611  0.0000
S  0.3670  0.0667  0.7500
S  0.1348  0.4546  0.0000
In  0.3347  0.3803  0.2457
S  0.6330  0.5667  0.7500
In  0.6653  0.8803  0.7457
In  0.6653  0.8803  0.2543
S  0.8652  0.9546  0.5000
Se  0.1213  0.4611  0.5000
In  0.2451  0.8451  0.5000
In  0.7549  0.3451  0.0000
S  0.6330  0.5667  0.2500
In  0.3347  0.3803  0.7543
S  0.3670  0.0667  0.2500
In  0.7357  0.3299  0.5000
In  0.2643  0.8299  0.0000

=====

Computed, not measured: InSeS2 after structural relaxation at the PBE level of DFT.

Properties
- Energy above the lowest structure with this stoichiometry: 0.0599 eV/atom
- ρ: 4.15 g/cm³
- Size of the total moment: 0.000 μB/cell
- Uncorrected formation energy: -35 kJ/mol of formula units

Lattice parameters (Å, degrees): 3.8015 4.1963 7.8409 68.31 75.97 63.07
Fractional positions:
S  0.8400  0.5729  0.7470
Se  0.2039  0.2812  0.3111
S  0.9740  0.1012  0.9507
In  0.4821  0.5447  0.4911

=====

Computed, not measured: InSeS2 after structural relaxation at the PBE level of DFT.

Properties
- Energy above the lowest structure with this stoichiometry: 0.2983 eV/atom
- ρ: 4.69 g/cm³
- Size of the total moment: 0.000 μB/cell
- Uncorrected formation energy: 57 kJ/mol of formula units

Lattice parameters (Å, degrees): 7.0603 7.0603 6.1912 55.24 55.24 90.00
Fractional positions:
S  0.3750  0.3734  0.7500
In  0.0000  0.0000  0.0000
S  0.6266  0.1250  0.2500
S  0.1234  0.6250  0.2500
Se  0.5000  0.5000  0.0000
Se  0.2500  0.7500  0.5000
S  0.8750  0.8766  0.7500
In  0.7500  0.2500  0.5000

=====

Computed, not measured: In3SeS2 after structural relaxation at the PBE level of DFT.

Properties
- Energy above the lowest structure with this stoichiometry: 0.0119 eV/atom
- ρ: 4.66 g/cm³
- Size of the total moment: 0.000 μB/cell
- Uncorrected formation energy: -201 kJ/mol of formula units

Lattice parameters (Å, degrees): 7.5595 7.1810 7.5595 90.00 57.88 90.00
Fractional positions:
In  0.9392  0.2500  0.4518
Se  0.3395  0.7500  0.6605
Se  0.6605  0.2500  0.3395
In  0.0608  0.7500  0.5482
In  0.5482  0.2500  0.0608
S  0.7627  0.0000  0.7627
S  0.2373  0.0000  0.2373
In  0.4518  0.7500  0.9392
S  0.7627  0.5000  0.7627
S  0.2373  0.5000  0.2373
In  0.2633  0.2500  0.7367
In  0.7367  0.7500  0.2633

=====

Computed, not measured: In3Se3S after structural relaxation at the PBE level of DFT.

Properties
- Energy above the lowest structure with this stoichiometry: 0.0000 eV/atom
- ρ: 4.92 g/cm³
- Size of the total moment: 0.000 μB/cell
- Uncorrected formation energy: -276 kJ/mol of formula units

Lattice parameters (Å, degrees): 5.9265 8.9782 8.9781 119.96 90.00 90.00
Fractional positions:
In  0.7500  0.1687  0.8318
Se  0.7500  0.8233  0.1762
S  0.7500  0.3332  0.6668
In  0.2500  0.8313  0.1682
In  0.7500  0.1686  0.3376
Se  0.2500  0.1766  0.3534
Se  0.7500  0.3534  0.1771
In  0.7500  0.6624  0.8309
S  0.2500  0.6668  0.3332
In  0.2500  0.3376  0.1691
Se  0.7500  0.8234  0.6466
Se  0.2500  0.1767  0.8238
Se  0.2500  0.6466  0.8229
In  0.2500  0.8314  0.6624

=====

Computed, not measured: In4Se3S after structural relaxation at the PBE level of DFT.

Properties
- Energy above the lowest structure with this stoichiometry: 0.0113 eV/atom
- ρ: 4.41 g/cm³
- Size of the total moment: 0.000 μB/cell
- Uncorrected formation energy: -332 kJ/mol of formula units

Lattice parameters (Å, degrees): 6.7338 8.1986 9.9264 90.00 90.00 90.00
Fractional positions:
In  0.8776  0.2469  0.6301
Se  0.4834  0.7513  0.6243
In  0.3903  0.0000  0.8354
In  0.8903  0.5000  0.1646
Se  0.4834  0.2487  0.6243
S  0.4751  0.5000  0.2375
Se  0.9834  0.2513  0.3757
S  0.9751  0.0000  0.7625
In  0.9228  0.0000  0.1628
In  0.3776  0.7469  0.3699
In  0.8776  0.7531  0.6301
Se  0.4745  0.0000  0.2209
Se  0.9745  0.5000  0.7791
Se  0.9834  0.7487  0.3757
In  0.3776  0.2531  0.3699
In  0.4228  0.5000  0.8372

=====

Computed, not measured: InSeS2 after structural relaxation at the PBE level of DFT.

Properties
- Energy above the lowest structure with this stoichiometry: 0.4054 eV/atom
- ρ: 4.20 g/cm³
- Size of the total moment: 0.000 μB/cell
- Uncorrected formation energy: 98 kJ/mol of formula units

Lattice parameters (Å, degrees): 9.2334 9.2334 9.2334 22.59 22.59 22.59
Fractional positions:
S  0.1124  0.1124  0.1124
Se  0.5000  0.5000  0.5000
S  0.8876  0.8876  0.8876
In  0.0000  0.0000  0.0000

=====

Computed, not measured: In4SeS3 after structural relaxation at the PBE level of DFT.

Properties
- Energy above the lowest structure with this stoichiometry: 0.0000 eV/atom
- ρ: 4.11 g/cm³
- Size of the total moment: 0.000 μB/cell
- Uncorrected formation energy: -340 kJ/mol of formula units

Lattice parameters (Å, degrees): 6.5900 9.7070 8.0216 90.00 90.00 90.00
Fractional positions:
S  0.5100  0.8881  0.0000
S  0.5240  0.2661  0.2559
S  0.0240  0.7339  0.2441
In  0.5969  0.6617  0.2241
In  0.1171  0.8656  0.5000
S  0.5240  0.2661  0.7441
In  0.1271  0.8779  0.0000
In  0.6171  0.1344  0.0000
In  0.5969  0.6617  0.7759
In  0.6271  0.1221  0.5000
S  0.0100  0.1119  0.5000
In  0.0969  0.3383  0.7241
S  0.0240  0.7339  0.7559
Se  0.0192  0.1377  0.0000
In  0.0969  0.3383  0.2759
Se  0.5192  0.8623  0.5000

=====

Which formula does entry 2 have?
InSeS2

=====

Look up the size of the total moment of the seventh one.
0.000 μB/cell

=====

The highest uncorrected formation energy belongs to which entry?
number 7